Density functional theory data (PBE) for RbNaTbO3 after structural relaxation.

```
data_RbNaTbO3
_chemical_formula_sum 'Rb4 Na4 Tb4 O12'
_cell_length_a 6.0058
_cell_length_b 11.8504
_cell_length_c 5.9845
_cell_angle_alpha 90.00
_cell_angle_beta 99.19
_cell_angle_gamma 90.00
_space_group_name_H-M_alt 'C 1 2/c 1'
_space_group_IT_number 15
loop_
_space_group_symop_operation_xyz
'x,y,z'
'-x,-y,-z'
'-x,y,-z+1/2'
'x,-y,z+1/2'
'x+1/2,y+1/2,z'
'-x+1/2,-y+1/2,-z'
'-x+1/2,y+1/2,-z+1/2'
'x+1/2,-y+1/2,z+1/2'
loop_
_atom_site_label
_atom_site_type_symbol
_atom_site_fract_x
_atom_site_fract_y
_atom_site_fract_z
Rb1 Rb 0.0000 0.2403 0.2500
Na1 Na 0.0000 0.0646 0.7500
Tb1 Tb 0.0000 0.4363 0.7500
O1 O 0.0000 0.2541 0.7500
O2 O 0.2312 0.4656 0.4984
```

Values from the calculation:
Spin magnetization, μB per formula unit: 1.00
Electronic total energy, eV/atom: -5.610